An optimized crystal structure of CaAcSi, computed with PBE.

Cell lengths 6.5155, 6.5155, 8.5746 Å; angles 124.42, 124.42, 41.34 degrees
Fractional positions:
Ca 0.1869 0.1869 0.0833
Ca 0.8131 0.8131 0.9167
Ac 0.4112 0.4112 0.6377
Ac 0.5888 0.5888 0.3623
Si 0.1177 0.1177 0.6574
Si 0.8823 0.8823 0.3426

Results
E above lowest polymorph in meV per atom: 14
SG: No. 12